## NaCa4Tb3Se8 (PBE)

Data for an optimized crystal structure of NaCa4Tb3Se8.

Cell and atoms, written as POSCAR:
```
NaCa4Tb3Se8
1.0
8.310 0.000 0.000
0.000 8.328 0.006
-4.155 -4.152 5.879
Se Tb Na Ca
8 3 1 4
direct
0.749 0.746 0.498
0.251 0.746 0.995
0.256 0.254 0.005
0.749 0.254 0.498
0.749 0.254 0.005
0.251 0.746 0.502
0.744 0.746 0.995
0.251 0.254 0.502
0.500 0.500 0.000
0.000 0.500 0.500
0.500 0.500 0.500
0.000 0.500 0.000
0.500 0.000 0.000
0.500 0.000 0.500
0.000 0.000 0.000
0.000 0.000 0.500
```

- total magnetization (μB/cell) = 0.0
- ΔE_f (raw) (eV per atom) = -1.87
- SG = No. 166
- volume (Å³/cell) = 407